Record 1
A relaxed Pm2ErCu3 crystal, computed with PBE-GGA.

Properties
E_form   -0.2036 eV/atom
Space group   No. 123

```
Pm2ErCu3
1.0
3.507 0.000 0.000
0.000 3.507 0.000
0.000 0.000 10.633
Pm Er Cu
2 1 3
direct
0.000 0.000 0.171 Pm
0.000 0.000 0.829 Pm
0.000 0.000 0.500 Er
0.500 0.500 0.000 Cu
0.500 0.500 0.347 Cu
0.500 0.500 0.653 Cu
```

***

Record 2
A relaxed Cs2LaSO crystal, computed with PBE-GGA.

Properties
DFT total energy   -17.363 eV for the cell shown
Space group   No. 123

```
Cs2LaSO
1.0
6.352 0.000 0.000
0.000 6.352 0.000
0.000 0.000 5.421
Cs La S O
2 1 1 1
direct
0.000 0.500 0.000 Cs
0.500 0.000 0.000 Cs
0.000 0.000 0.500 La
0.000 0.000 0.000 S
0.500 0.500 0.500 O
```

***

Record 3
A relaxed LuMnCuPt crystal, computed with PBE-GGA.

Properties
E_form   -0.4660 eV/atom
Space group   No. 216

```
LuMnCuPt
1.0
0.000 3.249 3.249
3.249 0.000 3.249
3.249 3.249 0.000
Lu Mn Cu Pt
1 1 1 1
direct
0.000 0.000 0.000 Lu
0.500 0.500 0.500 Mn
0.250 0.250 0.250 Cu
0.750 0.750 0.750 Pt
```

***

Record 4
A relaxed Cs3HIF crystal, computed with PBE-GGA.

Properties
DFT total energy   -35.880 eV for the cell shown
Space group   No. 11

```
Cs3HIF
1.0
9.466 0.000 0.000
0.000 5.078 0.000
-4.355 0.000 10.413
Cs H I F
6 2 2 2
direct
0.006 0.250 0.176 Cs
0.309 0.750 0.467 Cs
0.395 0.250 0.134 Cs
0.605 0.750 0.866 Cs
0.691 0.250 0.533 Cs
0.994 0.750 0.824 Cs
0.173 0.750 0.114 H
0.827 0.250 0.886 H
0.256 0.250 0.741 I
0.744 0.750 0.259 I
0.357 0.250 0.369 F
0.643 0.750 0.631 F
```

***

Record 5
A relaxed YFe2Se crystal, computed with PBE-GGA.

Properties
DFT total energy   -27.044 eV for the cell shown
Space group   No. 44

```
YFe2Se
1.0
-1.771 2.453 4.084
1.771 -2.453 4.084
1.771 2.453 -4.084
Y Fe Se
1 2 1
direct
0.000 0.000 0.000 Y
0.295 0.795 0.500 Fe
0.508 0.508 0.000 Fe
0.721 0.221 0.500 Se
```

***

Record 6
A relaxed La2PrSm3Er6 crystal, computed with PBE-GGA.

Properties
E_form   0.0168 eV/atom
Space group   No. 12

```
La2PrSm3Er6
1.0
3.124 -5.410 0.000
3.124 5.410 0.000
-2.078 0.000 11.601
La Pr Sm Er
2 1 3 6
direct
0.167 0.833 0.000 La
0.833 0.167 0.000 La
0.500 0.500 0.000 Pr
0.000 0.000 0.500 Sm
0.334 0.666 0.500 Sm
0.666 0.334 0.500 Sm
0.083 0.415 0.747 Er
0.252 0.252 0.253 Er
0.415 0.083 0.747 Er
0.585 0.917 0.253 Er
0.748 0.748 0.747 Er
0.917 0.585 0.253 Er
```

***

Record 7
A relaxed Tb2ErCd3 crystal, computed with PBE-GGA.

Properties
E_form   -0.3192 eV/atom
Space group   No. 164

```
Tb2ErCd3
1.0
5.290 0.000 0.000
-2.645 4.581 0.000
0.000 0.000 6.496
Tb Er Cd
2 1 3
direct
0.333 0.667 0.171 Tb
0.667 0.333 0.829 Tb
0.000 0.000 0.500 Er
0.000 0.000 0.000 Cd
0.333 0.667 0.668 Cd
0.667 0.333 0.332 Cd
```

***

Record 8
A relaxed UTc6 crystal, computed with PBE-GGA.

Properties
E_form   1.1204 eV/atom
Space group   No. 229

```
UTc6
1.0
-3.377 3.377 3.377
3.377 -3.377 3.377
3.377 3.377 -3.377
U Tc
1 6
direct
0.000 0.000 0.000 U
0.250 0.500 0.750 Tc
0.250 0.750 0.500 Tc
0.500 0.250 0.750 Tc
0.500 0.750 0.250 Tc
0.750 0.250 0.500 Tc
0.750 0.500 0.250 Tc
```

***

Record 9
A relaxed Ac2YRh9 crystal, computed with PBE-GGA.

Properties
E_form   -0.4495 eV/atom
Space group   No. 166

```
Ac2YRh9
1.0
2.675 1.544 9.098
-2.675 1.544 9.098
0.000 -3.089 9.098
Ac Y Rh
2 1 9
direct
0.138 0.138 0.138 Ac
0.862 0.862 0.862 Ac
0.000 0.000 0.000 Y
0.080 0.578 0.578 Rh
0.333 0.333 0.333 Rh
0.422 0.422 0.920 Rh
0.422 0.920 0.422 Rh
0.500 0.500 0.500 Rh
0.578 0.080 0.578 Rh
0.578 0.578 0.080 Rh
0.667 0.667 0.667 Rh
0.920 0.422 0.422 Rh
```

***

Record 10
A relaxed AlCdBr2 crystal, computed with PBE-GGA.

Properties
Relative energy among the computed polymorphs   5 meV per atom
Space group   No. 8

```
AlCdBr2
1.0
6.766 -1.924 0.000
6.766 1.924 0.000
-2.097 0.000 5.119
Al Cd Br
1 1 2
direct
0.000 0.000 0.000 Al
0.462 0.462 0.309 Cd
0.613 0.613 0.871 Br
0.854 0.854 0.577 Br
```

***

Record 11
A relaxed RbPtBr crystal, computed with PBE-GGA.

Properties
Relative energy among the computed polymorphs   47 meV per atom
Space group   No. 36

```
RbPtBr
1.0
2.711 -8.800 0.000
2.711 8.800 0.000
0.000 0.000 4.260
Rb Pt Br
2 2 2
direct
0.119 0.881 0.500 Rb
0.881 0.119 0.000 Rb
0.463 0.537 0.616 Pt
0.537 0.463 0.116 Pt
0.328 0.672 0.436 Br
0.672 0.328 0.936 Br
```

***

Record 12
A relaxed Dy2NpPaP4 crystal, computed with PBE-GGA.

Properties
E_form   -1.3551 eV/atom
Space group   No. 10

```
Dy2NpPaP4
1.0
6.886 0.000 0.000
0.000 3.984 0.000
-2.308 0.000 6.519
Dy Np Pa P
2 1 1 4
direct
0.000 0.000 0.000 Dy
0.500 0.500 0.000 Dy
0.000 0.500 0.500 Np
0.500 0.000 0.500 Pa
0.249 0.000 0.745 P
0.252 0.500 0.254 P
0.748 0.500 0.746 P
0.751 0.000 0.255 P
```

***

Record 13
A relaxed NaSbAuSe3 crystal, computed with PBE-GGA.

Properties
DFT total energy   -42.796 eV for the cell shown
Space group   No. 11

```
NaSbAuSe3
1.0
8.569 0.000 0.000
0.000 4.036 0.000
-2.057 0.000 9.256
Na Sb Au Se
2 2 2 6
direct
0.181 0.250 0.213 Na
0.819 0.750 0.787 Na
0.326 0.750 0.866 Sb
0.674 0.250 0.134 Sb
0.106 0.250 0.521 Au
0.894 0.750 0.479 Au
0.107 0.250 0.889 Se
0.280 0.750 0.536 Se
0.435 0.750 0.160 Se
0.565 0.250 0.840 Se
0.720 0.250 0.464 Se
0.893 0.750 0.111 Se
```

***

Record 14
A relaxed TaVH3 crystal, computed with PBE-GGA.

Properties
Relative energy among the computed polymorphs   443 meV per atom
Space group   No. 221

```
TaVH3
1.0
3.536 0.000 0.000
0.000 3.536 0.000
0.000 0.000 3.536
Ta V H
1 1 3
direct
0.000 0.000 0.000 Ta
0.500 0.500 0.500 V
0.000 0.000 0.500 H
0.000 0.500 0.000 H
0.500 0.000 0.000 H
```

***

Record 15
A relaxed Ge2TeI crystal, computed with PBE-GGA.

Properties
Relative energy among the computed polymorphs   105 meV per atom
Space group   No. 225

```
Ge2TeI
1.0
0.000 3.742 3.742
3.742 0.000 3.742
3.742 3.742 0.000
Ge Te I
2 1 1
direct
0.250 0.250 0.250 Ge
0.750 0.750 0.750 Ge
0.000 0.000 0.000 Te
0.500 0.500 0.500 I
```

***

Record 16
A relaxed BiPW2 crystal, computed with PBE-GGA.

Properties
Relative energy among the computed polymorphs   15 meV per atom
E_form   0.8501 eV/atom
Space group   No. 225

```
BiPW2
1.0
0.000 3.245 3.245
3.245 0.000 3.245
3.245 3.245 0.000
Bi P W
1 1 2
direct
0.000 0.000 0.000 Bi
0.500 0.500 0.500 P
0.250 0.250 0.250 W
0.750 0.750 0.750 W
```

***

Record 17
A relaxed MnAsIr2 crystal, computed with PBE-GGA.

Properties
E_form   -0.0115 eV/atom
Space group   No. 12

```
MnAsIr2
1.0
4.268 -1.459 0.000
4.268 1.459 0.000
-0.828 0.000 4.747
Mn As Ir
1 1 2
direct
0.000 0.000 0.000 Mn
0.500 0.500 0.500 As
0.255 0.255 0.756 Ir
0.745 0.745 0.244 Ir
```

***

Record 18
A relaxed SmAgSnRu crystal, computed with PBE-GGA.

Properties
E_form   -0.1826 eV/atom
Space group   No. 216

```
SmAgSnRu
1.0
0.000 3.443 3.443
3.443 0.000 3.443
3.443 3.443 0.000
Sm Ag Sn Ru
1 1 1 1
direct
0.000 0.000 0.000 Sm
0.250 0.250 0.250 Ag
0.500 0.500 0.500 Sn
0.750 0.750 0.750 Ru
```

***

Record 19
A relaxed BaAlGa crystal, computed with PBE-GGA.

Properties
E_form   -0.3237 eV/atom
Space group   No. 1

```
BaAlGa
1.0
4.525 0.000 0.000
-1.733 6.407 0.000
-1.727 -1.906 6.130
Ba Al Ga
2 2 2
direct
0.000 0.000 0.000 Ba
0.499 0.382 0.620 Ba
0.224 0.798 0.529 Al
0.775 0.470 0.204 Al
0.275 0.590 0.080 Ga
0.725 0.923 0.410 Ga
```

***

Record 20
A relaxed ThScSn2 crystal, computed with PBE-GGA.

Properties
Relative energy among the computed polymorphs   31 meV per atom
E_form   -0.4890 eV/atom
Space group   No. 63

```
ThScSn2
1.0
1.771 -8.574 0.000
1.771 8.574 0.000
0.000 0.000 7.076
Th Sc Sn
2 2 4
direct
0.013 0.987 0.750 Th
0.987 0.013 0.250 Th
0.242 0.758 0.250 Sc
0.758 0.242 0.750 Sc
0.371 0.629 0.528 Sn
0.371 0.629 0.972 Sn
0.629 0.371 0.028 Sn
0.629 0.371 0.472 Sn
```

***

Record 21
A relaxed Na8B11C5 crystal, computed with PBE-GGA.

Properties
Relative energy among the computed polymorphs   4 meV per atom
E_form   0.1052 eV/atom
Space group   No. 25

```
Na8B11C5
1.0
2.809 0.000 0.000
0.000 8.595 0.000
0.000 0.000 10.283
Na B C
8 11 5
direct
0.000 0.247 0.000 Na
0.000 0.250 0.496 Na
0.000 0.750 0.496 Na
0.000 0.753 0.000 Na
0.500 0.249 0.247 Na
0.500 0.249 0.748 Na
0.500 0.751 0.247 Na
0.500 0.751 0.748 Na
0.000 0.000 0.336 B
0.000 0.000 0.810 B
0.000 0.500 0.148 B
0.000 0.500 0.314 B
0.000 0.500 0.688 B
0.500 0.000 0.095 B
0.500 0.000 0.574 B
0.500 0.000 0.922 B
0.500 0.500 0.420 B
0.500 0.500 0.584 B
0.500 0.500 0.917 B
0.000 0.000 0.175 C
0.000 0.000 0.656 C
0.000 0.500 0.838 C
0.500 0.000 0.416 C
0.500 0.500 0.071 C
```

***

Record 22
A relaxed Rb2Tl2PtAu crystal, computed with PBE-GGA.

Properties
E_form   -0.1737 eV/atom
Space group   No. 72

```
Rb2Tl2PtAu
1.0
-3.675 7.883 3.584
3.675 -7.883 3.584
3.675 7.883 -3.584
Rb Tl Pt Au
4 4 2 2
direct
0.158 0.244 0.401 Rb
0.342 0.744 0.086 Rb
0.658 0.256 0.914 Rb
0.842 0.756 0.599 Rb
0.086 0.732 0.818 Tl
0.414 0.232 0.647 Tl
0.586 0.768 0.353 Tl
0.914 0.268 0.182 Tl
0.250 0.750 0.500 Pt
0.750 0.250 0.500 Pt
0.250 0.250 0.000 Au
0.750 0.750 0.000 Au
```

***

Record 23
A relaxed SrSc2Ta crystal, computed with PBE-GGA.

Properties
Relative energy among the computed polymorphs   325 meV per atom
E_form   0.6428 eV/atom
Space group   No. 119

```
SrSc2Ta
1.0
-2.321 2.321 4.685
2.321 -2.321 4.685
2.321 2.321 -4.685
Sr Sc Ta
1 2 1
direct
0.000 0.000 0.000 Sr
0.500 0.500 0.000 Sc
0.750 0.250 0.500 Sc
0.250 0.750 0.500 Ta
```

***

Record 24
A relaxed Ca2LuCd crystal, computed with PBE-GGA.

Properties
Relative energy among the computed polymorphs   196 meV per atom
E_form   0.1612 eV/atom
Space group   No. 166

```
Ca2LuCd
1.0
1.794 1.036 11.872
-1.794 1.036 11.872
0.000 -2.072 11.872
Ca Lu Cd
2 1 1
direct
0.095 0.095 0.095 Ca
0.905 0.905 0.905 Ca
0.000 0.000 0.000 Lu
0.500 0.500 0.500 Cd
```

***

Record 25
A relaxed Sc3ZnC crystal, computed with PBE-GGA.

Properties
Relative energy among the computed polymorphs   463 meV per atom
E_form   0.0252 eV/atom
Space group   No. 62

```
Sc3ZnC
1.0
6.307 0.000 0.000
0.000 8.316 0.000
0.000 0.000 7.377
Sc Zn C
12 4 4
direct
0.100 0.071 0.152 Sc
0.100 0.429 0.152 Sc
0.194 0.250 0.735 Sc
0.306 0.750 0.235 Sc
0.400 0.571 0.652 Sc
0.400 0.929 0.652 Sc
0.600 0.071 0.348 Sc
0.600 0.429 0.348 Sc
0.694 0.250 0.765 Sc
0.806 0.750 0.265 Sc
0.900 0.571 0.848 Sc
0.900 0.929 0.848 Sc
0.000 0.000 0.500 Zn
0.000 0.500 0.500 Zn
0.500 0.000 0.000 Zn
0.500 0.500 0.000 Zn
0.033 0.750 0.032 C
0.467 0.250 0.532 C
0.533 0.750 0.468 C
0.967 0.250 0.968 C
```

***

Total magnetic moment, respectively: 0.00, 0.81, 4.11, 0.05, 4.31, 0.00, 0.01, 2.88, 0.00, 0.00, 0.00, 4.33, 0.00, 1.43, 0.00, 0.00, 3.73, 0.00, 0.00, 0.00, 0.00, 0.00, 0.00, 0.48, 0.00 μB/f.u..